Density functional theory data (GGA-PBE) for an optimized crystal structure of Ba5Rh2Br2.

Cell and atoms, written as POSCAR:
```
Ba5Rh2Br2
1.0
-7.786 0.008 3.913
-3.115 -5.278 -6.188
3.905 -4.237 7.778
Rh Ba Br
4 10 4
direct
0.360 0.141 0.000
0.140 0.641 0.000
0.860 0.359 0.000
0.640 0.859 0.000
0.155 0.226 0.765
0.845 0.774 0.235
0.155 0.461 0.235
0.000 0.000 0.000
0.845 0.539 0.765
0.655 0.039 0.765
0.345 0.961 0.235
0.655 0.274 0.235
0.500 0.500 0.000
0.345 0.726 0.765
0.000 0.205 0.410
0.000 0.795 0.590
0.500 0.705 0.410
0.500 0.295 0.590
```

- Spin magnetization: 0.00 μB/f.u.
- Formation energy (no corrections): -812 meV/atom
- Calculated total energy: -3.89 eV/atom

=====

Density functional theory data (GGA-PBE) for an optimized crystal structure of Mg3C.

Cell and atoms, written as POSCAR:
```
Mg3C
1.0
-0.213 -1.712 4.750
0.054 -5.043 0.336
2.844 3.416 -2.405
Mg C
3 1
direct
0.500 0.500 0.000
0.750 0.250 0.500
0.250 0.750 0.500
0.000 0.000 0.000
```

- Spin magnetization: 0.00 μB/f.u.
- E_form: 948 meV per atom
- Calculated total energy: -2.55 eV/atom

=====

Density functional theory data (GGA-PBE) for an optimized crystal structure of U3PaS6.

Cell and atoms, written as POSCAR:
```
U3PaS6
1.0
3.829 0.000 0.000
0.000 10.796 0.171
0.000 -3.444 10.711
Pa S U
2 12 6
direct
0.250 0.952 0.305
0.750 0.048 0.695
0.750 0.810 0.751
0.750 0.912 0.109
0.750 0.491 0.624
0.250 0.601 0.930
0.250 0.250 0.721
0.750 0.750 0.279
0.250 0.509 0.376
0.750 0.399 0.070
0.250 0.190 0.249
0.250 0.885 0.541
0.750 0.115 0.459
0.250 0.088 0.891
0.250 0.578 0.164
0.750 0.681 0.501
0.750 0.149 0.071
0.750 0.422 0.836
0.250 0.319 0.499
0.250 0.851 0.929
```

- Spin magnetization: 2.26 μB/f.u.
- Formation energy (no corrections): -1421 meV/atom
- Calculated total energy: -8.23 eV/atom

=====

Density functional theory data (GGA-PBE) for an optimized crystal structure of Cr2InRh.

Cell and atoms, written as POSCAR:
```
Cr2InRh
1.0
-1.257 2.107 -1.733
0.220 -1.824 -2.377
-6.515 -2.687 1.460
Rh Cr In
1 2 1
direct
0.500 0.500 0.750
0.000 0.000 0.532
0.000 0.000 0.968
0.500 0.500 0.250
```

- Spin magnetization: 6.30 μB/f.u.
- E_form: 246 meV per atom
- Calculated total energy: -7.09 eV/atom

=====

Density functional theory data (GGA-PBE) for an optimized crystal structure of PaTiHg2.

Cell and atoms, written as POSCAR:
```
PaTiHg2
1.0
-0.339 -5.067 0.038
3.208 -2.739 2.827
-1.684 -2.401 4.145
Hg Pa Ti
2 1 1
direct
0.750 0.750 0.750
0.250 0.250 0.250
0.500 0.500 0.500
0.000 0.000 0.000
```

- Spin magnetization: 3.50 μB/f.u.
- E_form: 142 meV per atom
- Calculated total energy: -4.36 eV/atom

=====

Density functional theory data (GGA-PBE) for an optimized crystal structure of BaRe2Os.

Cell and atoms, written as POSCAR:
```
BaRe2Os
1.0
2.996 0.000 0.000
0.000 5.022 0.000
0.000 0.000 5.010
Re Ba Os
2 1 1
direct
0.000 0.000 0.000
0.500 0.500 0.000
0.500 0.000 0.500
0.000 0.500 0.500
```

- Spin magnetization: 0.01 μB/f.u.
- E_form: 1678 meV per atom
- Calculated total energy: -7.83 eV/atom

=====

Density functional theory data (GGA-PBE) for an optimized crystal structure of CaICl6.

Cell and atoms, written as POSCAR:
```
CaICl6
1.0
-1.855 0.898 6.262
-1.895 -5.395 4.175
4.738 -1.641 5.153
Cl I Ca
6 1 1
direct
0.912 0.570 0.262
0.766 0.075 0.765
0.088 0.430 0.738
0.587 0.224 0.247
0.234 0.925 0.235
0.413 0.776 0.753
0.000 0.000 0.000
0.500 0.500 0.500
```

- Spin magnetization: 0.99 μB/f.u.
- Formation energy (no corrections): -831 meV/atom
- Calculated total energy: -2.66 eV/atom

=====

Density functional theory data (GGA-PBE) for an optimized crystal structure of Na4Tl2Hg.

Cell and atoms, written as POSCAR:
```
Na4Tl2Hg
1.0
-1.167 -4.720 3.030
5.091 -2.191 -1.453
5.188 -0.174 7.143
Hg Na Tl
1 4 2
direct
0.000 0.000 0.000
0.807 0.807 0.387
0.500 0.000 0.000
0.193 0.193 0.613
0.000 0.500 0.000
0.395 0.395 0.210
0.605 0.605 0.790
```

- Spin magnetization: 0.00 μB/f.u.
- E_form: 34 meV per atom
- Calculated total energy: -1.44 eV/atom

=====

Density functional theory data (GGA-PBE) for an optimized crystal structure of AcTi2TlO6.

Cell and atoms, written as POSCAR:
```
AcTi2TlO6
1.0
-3.262 4.172 -2.610
-0.613 -3.440 -6.966
-6.988 -2.891 1.880
Ti Tl O Ac
4 2 12 2
direct
0.775 0.199 0.384
0.225 0.801 0.616
0.275 0.384 0.199
0.725 0.616 0.801
0.250 0.912 0.088
0.750 0.088 0.912
0.556 0.376 0.302
0.354 0.826 0.402
0.056 0.302 0.376
0.146 0.598 0.174
0.854 0.402 0.826
0.184 0.007 0.720
0.646 0.174 0.598
0.684 0.720 0.007
0.316 0.280 0.993
0.944 0.698 0.624
0.816 0.993 0.280
0.444 0.624 0.698
0.250 0.312 0.688
0.750 0.688 0.312
```

- Spin magnetization: 0.00 μB/f.u.
- Formation energy (no corrections): -2776 meV/atom
- Calculated total energy: -7.98 eV/atom

=====

Density functional theory data (GGA-PBE) for an optimized crystal structure of Ba2CrN2.

Cell and atoms, written as POSCAR:
```
Ba2CrN2
1.0
-5.391 -3.070 0.663
2.269 -2.897 5.039
-1.619 3.425 2.698
Cr Ba N
2 4 4
direct
0.000 0.000 0.000
0.500 0.500 0.000
0.170 0.670 0.500
0.330 0.170 0.500
0.830 0.330 0.500
0.670 0.830 0.500
0.299 0.799 0.000
0.201 0.299 0.000
0.701 0.201 0.000
0.799 0.701 0.000
```

- Spin magnetization: 0.00 μB/f.u.
- Formation energy (no corrections): 616 meV/atom
- Calculated total energy: -5.41 eV/atom

=====

Density functional theory data (GGA-PBE) for an optimized crystal structure of InPbW.

Cell and atoms, written as POSCAR:
```
InPbW
1.0
-0.588 -1.142 -2.801
-1.674 -0.915 2.420
-5.540 6.357 -1.429
Pb In W
1 1 1
direct
0.667 0.333 0.377
0.000 0.000 0.953
0.333 0.667 0.670
```

- Spin magnetization: 0.00 μB/f.u.
- E_form: 729 meV per atom
- Calculated total energy: -5.74 eV/atom

=====

Density functional theory data (GGA-PBE) for an optimized crystal structure of TbSc5Ag4.

Cell and atoms, written as POSCAR:
```
TbSc5Ag4
1.0
-2.500 1.811 1.464
-0.866 -2.717 1.882
11.817 5.502 13.380
Ag Sc Tb
4 5 1
direct
0.000 0.000 0.408
0.000 0.000 0.592
0.000 0.000 0.220
0.000 0.000 0.780
0.500 0.500 0.687
0.500 0.500 0.500
0.500 0.500 0.313
0.500 0.500 0.872
0.500 0.500 0.128
0.000 0.000 0.000
```

- Spin magnetization: 0.00 μB/f.u.
- E_form: -201 meV per atom
- Calculated total energy: -4.97 eV/atom

=====

Density functional theory data (GGA-PBE) for an optimized crystal structure of Tc3BiMo.

Cell and atoms, written as POSCAR:
```
Tc3BiMo
1.0
4.839 0.000 0.000
0.000 4.839 0.000
0.000 0.000 4.839
Bi Tc Mo
1 3 1
direct
0.000 0.000 0.000
0.000 0.500 0.000
0.500 0.000 0.000
0.000 0.000 0.500
0.500 0.500 0.500
```

- Spin magnetization: 0.00 μB/f.u.
- E_form: 2725 meV per atom
- Calculated total energy: -6.44 eV/atom

=====

Density functional theory data (GGA-PBE) for an optimized crystal structure of KCaBePb2.

Cell and atoms, written as POSCAR:
```
KCaBePb2
1.0
5.911 0.000 0.000
0.000 5.879 0.000
0.000 0.000 5.911
K Ca Be Pb
1 1 1 2
direct
0.000 0.000 0.000
0.000 0.500 0.000
0.500 0.500 0.500
0.500 0.000 0.000
0.000 0.000 0.500
```

- Spin magnetization: 0.00 μB/f.u.
- E_form: 1357 meV per atom
- Calculated total energy: -1.49 eV/atom

=====

Density functional theory data (GGA-PBE) for an optimized crystal structure of La12Bi6Ru.

Cell and atoms, written as POSCAR:
```
La12Bi6Ru
1.0
9.085 -0.019 -0.023
-1.396 8.977 -0.023
-1.396 -1.627 8.828
Bi La Ru
6 12 1
direct
0.879 0.349 0.688
0.312 0.121 0.651
0.349 0.688 0.879
0.651 0.312 0.121
0.688 0.879 0.349
0.121 0.651 0.312
0.196 0.423 0.554
0.314 0.051 0.000
0.000 0.686 0.949
0.051 0.000 0.314
0.554 0.196 0.423
0.577 0.446 0.804
0.949 0.000 0.686
0.423 0.554 0.196
0.000 0.314 0.051
0.446 0.804 0.577
0.686 0.949 0.000
0.804 0.577 0.446
0.000 0.000 0.000
```

- Spin magnetization: 0.00 μB/f.u.
- E_form: -577 meV per atom
- Calculated total energy: -5.40 eV/atom

=====

Density functional theory data (GGA-PBE) for an optimized crystal structure of Li3AcCu8.

Cell and atoms, written as POSCAR:
```
Li3AcCu8
1.0
4.883 0.000 1.474
2.219 4.350 1.474
0.010 0.006 8.792
Cu Li Ac
8 3 1
direct
0.937 0.429 0.697
0.443 0.443 0.164
0.937 0.937 0.697
0.690 0.690 0.931
0.949 0.443 0.164
0.443 0.949 0.164
0.186 0.186 0.442
0.429 0.937 0.697
0.373 0.373 0.882
0.479 0.479 0.563
0.009 0.009 0.974
0.876 0.876 0.373
```

- Spin magnetization: 0.00 μB/f.u.
- E_form: -64 meV per atom
- Calculated total energy: -3.62 eV/atom

=====

Density functional theory data (GGA-PBE) for an optimized crystal structure of Ti2CdTe.

Cell and atoms, written as POSCAR:
```
Ti2CdTe
1.0
-3.796 0.328 1.859
-0.813 -4.052 -0.946
1.725 -4.710 9.188
Ti Te Cd
4 2 2
direct
0.115 0.625 0.250
0.375 0.365 0.750
0.875 0.885 0.750
0.635 0.125 0.250
0.000 0.000 0.000
0.750 0.250 0.500
0.250 0.750 0.500
0.500 0.500 0.000
```

- Spin magnetization: 2.71 μB/f.u.
- Formation energy (no corrections): 298 meV/atom
- Calculated total energy: -4.66 eV/atom

=====

Density functional theory data (GGA-PBE) for an optimized crystal structure of Pm2YTe.

Cell and atoms, written as POSCAR:
```
Pm2YTe
1.0
-1.136 -3.529 -1.366
-0.336 -3.061 2.475
-10.125 0.243 2.080
Y Te Pm
1 1 2
direct
0.500 0.500 0.500
0.000 0.000 0.000
0.738 0.738 0.785
0.262 0.262 0.215
```

- Spin magnetization: 0.00 μB/f.u.
- Formation energy (no corrections): -536 meV/atom
- Calculated total energy: -5.31 eV/atom

=====

Density functional theory data (GGA-PBE) for an optimized crystal structure of RbMgGaCl6.

Cell and atoms, written as POSCAR:
```
RbMgGaCl6
1.0
-5.373 -3.483 0.632
-0.237 -4.803 4.274
-2.452 4.722 5.171
Ga Cl Rb Mg
1 6 1 1
direct
0.333 0.333 0.500
0.621 0.014 0.312
0.014 0.366 0.312
0.014 0.621 0.688
0.366 0.621 0.312
0.366 0.014 0.688
0.621 0.366 0.688
0.000 0.000 0.000
0.667 0.667 0.500
```

- Spin magnetization: 0.00 μB/f.u.
- Formation energy (no corrections): -1547 meV/atom
- Calculated total energy: -3.40 eV/atom

=====

Density functional theory data (GGA-PBE) for an optimized crystal structure of DyTh3Hg7.

Cell and atoms, written as POSCAR:
```
DyTh3Hg7
1.0
-1.898 0.111 2.951
-1.914 -10.644 -2.920
12.224 -4.400 8.028
Hg Th Dy
14 6 2
direct
0.254 0.507 0.077
0.393 0.785 0.750
0.372 0.743 0.347
0.498 0.997 0.093
0.628 0.257 0.847
0.372 0.743 0.153
0.607 0.215 0.250
0.502 0.003 0.593
0.746 0.493 0.923
0.746 0.493 0.577
0.254 0.507 0.423
0.498 0.997 0.407
0.502 0.003 0.907
0.628 0.257 0.653
0.115 0.230 0.465
0.754 0.508 0.250
0.885 0.770 0.965
0.115 0.230 0.035
0.246 0.492 0.750
0.885 0.770 0.535
0.028 0.056 0.750
0.972 0.944 0.250
```

- Spin magnetization: 0.00 μB/f.u.
- E_form: -181 meV per atom
- Calculated total energy: -2.82 eV/atom

=====

Density functional theory data (GGA-PBE) for an optimized crystal structure of EuDyHgPd.

Cell and atoms, written as POSCAR:
```
EuDyHgPd
1.0
-2.408 -4.247 1.792
2.527 -4.542 0.179
1.377 -2.030 4.585
Dy Eu Hg Pd
1 1 1 1
direct
0.750 0.750 0.750
0.250 0.250 0.250
0.500 0.500 0.500
0.000 0.000 0.000
```

- Spin magnetization: 7.03 μB/f.u.
- E_form: -571 meV per atom
- Calculated total energy: -5.66 eV/atom

=====

Density functional theory data (GGA-PBE) for an optimized crystal structure of FeSbPd6.

Cell and atoms, written as POSCAR:
```
FeSbPd6
1.0
-4.490 4.798 3.464
-4.413 -2.008 5.053
-0.795 1.566 4.800
Pd Fe Sb
6 1 1
direct
0.446 0.253 0.239
0.554 0.747 0.761
0.940 0.446 0.361
0.253 0.062 0.130
0.747 0.938 0.870
0.060 0.554 0.639
0.500 0.500 0.500
0.000 0.000 0.000
```

- Spin magnetization: 3.94 μB/f.u.
- Formation energy (no corrections): -119 meV/atom
- Calculated total energy: -5.59 eV/atom

=====

Density functional theory data (GGA-PBE) for an optimized crystal structure of AcNdPu2S4.

Cell and atoms, written as POSCAR:
```
AcNdPu2S4
1.0
4.069 0.000 0.000
0.000 7.035 -0.124
0.000 2.493 6.679
Pu Ac S Nd
2 1 4 1
direct
0.000 0.000 0.000
0.500 0.000 0.500
0.500 0.500 0.000
0.500 0.764 0.251
0.000 0.769 0.735
0.500 0.236 0.749
0.000 0.231 0.265
0.000 0.500 0.500
```

- Spin magnetization: 0.02 μB/f.u.
- Formation energy (no corrections): -1870 meV/atom
- Calculated total energy: -8.63 eV/atom